Entry from Alexandria: a relaxed structure of CsRbIn2Br4 (PBE).

```
CsRbIn2Br4
1.0
8.4789 0.0000 0.0000
0.0000 4.9345 0.0000
-2.8765 0.0000 8.0354
Cs Rb In Br
1 1 2 4
direct
0.0000 0.0000 0.0000 Cs
0.0000 0.5000 0.5000 Rb
0.5000 0.0000 0.5000 In
0.5000 0.5000 0.0000 In
0.2645 0.0000 0.7490 Br
0.2700 0.5000 0.2636 Br
0.7300 0.5000 0.7364 Br
0.7355 0.0000 0.2510 Br
```

Properties
Uncorrected formation energy   -1.19 eV per atom
Magnetic moment   0.00 μB/f.u.
Energy   -2.943 eV per atom